Computed, not measured: a relaxed ScRe2Ir crystal at the PBE level of DFT.

Cell lengths 4.5633, 4.5633, 3.0176 Å; angles 90.00, 90.00, 90.00 degrees
Fractional coordinates of all 4 atoms:
Sc: 0.0000 0.0000 0.0000
Re: 0.0000 0.5000 0.5000
Re: 0.5000 0.0000 0.5000
Ir: 0.5000 0.5000 0.0000

Values from the calculation:
Energy above the lowest structure with this stoichiometry (meV per atom): 306.2
SG: P4/mmm, No. 123